[1]
DFT (PBE) results for a geometry-optimized RbLiTeS3 structure.

Computed properties:
Symmetry ... Cmcm, No. 63
Formation energy without anion corrections ... -0.661 eV per atom
DOS at the Fermi energy ... 0.150 states/eV per cell
Theoretical density ... 3.4 g/cm³

Cell: 3.990 7.657 10.355 Å, 90.00 90.00 105.10°
Sites, in units of the cell vectors:
1 Rb 0.263 0.525 0.250
2 S 0.054 0.108 0.750
3 S 0.381 0.762 0.548
4 Te 0.000 0.000 0.000
5 Li 0.463 0.925 0.750
6 S 0.381 0.762 0.952
7 S 0.619 0.238 0.048
8 S 0.946 0.892 0.250
9 Li 0.537 0.075 0.250
10 Te 0.000 0.000 0.500
11 S 0.619 0.238 0.452
12 Rb 0.737 0.475 0.750

---

[2]
DFT (PBE) results for a geometry-optimized LiPrEuIn structure.

Computed properties:
Symmetry ... F-43m, No. 216
DOS at the Fermi energy ... 11.275 states/eV per cell
Theoretical density ... 5.8 g/cm³
Energy of formation ... -0.24 eV per atom

Cell: 5.527 5.527 5.527 Å, 60.00 60.00 60.00°
Sites, in units of the cell vectors:
1 Eu 0.500 0.500 0.500
2 Pr 0.000 0.000 0.000
3 Li 0.750 0.750 0.750
4 In 0.250 0.250 0.250

---

[3]
DFT (PBE) results for a geometry-optimized LaDy2Cd2 structure.

Computed properties:
Symmetry ... I4/mmm, No. 139
Polymorph energy (0 for the lowest one) ... 213.6 meV per atom
DOS at the Fermi energy ... 9.949 states/eV per cell
Theoretical density ... 7.2 g/cm³
Energy of formation ... -0.04 eV per atom

Cell: 5.038 5.038 12.970 Å, 101.20 101.20 90.00°
Sites, in units of the cell vectors:
1 Cd 0.817 0.817 0.633
2 Cd 0.183 0.183 0.367
3 La 0.376 0.376 0.752
4 Dy 0.250 0.750 0.500
5 Dy 0.071 0.071 0.141
6 Cd 0.000 0.500 0.000
7 Cd 0.500 0.000 0.000
8 Dy 0.929 0.929 0.859
9 Dy 0.750 0.250 0.500
10 La 0.624 0.624 0.248

---

[4]
DFT (PBE) results for a geometry-optimized Sm2Dy2Ho2Th structure.

Computed properties:
Symmetry ... C2/m, No. 12
DOS at the Fermi energy ... 9.988 states/eV per cell
Theoretical density ... 8.5 g/cm³
Energy of formation ... 0.12 eV per atom

Cell: 3.517 9.268 8.284 Å, 118.51 90.00 100.94°
Sites, in units of the cell vectors:
1 Ho 0.571 0.141 0.242
2 Dy 0.789 0.578 0.372
3 Ho 0.429 0.859 0.758
4 Dy 0.211 0.422 0.628
5 Sm 0.358 0.716 0.100
6 Sm 0.642 0.284 0.900
7 Th 0.000 0.000 0.500

---

[5]
DFT (PBE) results for a geometry-optimized LaNdGe2 structure.

Computed properties:
Symmetry ... Pmc2_1, No. 26
Polymorph energy (0 for the lowest one) ... 0.1 meV per atom
DOS at the Fermi energy ... 6.977 states/eV per cell
Theoretical density ... 6.8 g/cm³
Energy of formation ... -0.84 eV per atom

Cell: 4.118 6.060 8.404 Å, 90.00 90.00 90.00°
Sites, in units of the cell vectors:
1 Nd 0.500 0.368 0.318
2 Ge 0.000 0.388 0.038
3 La 0.000 0.133 0.681
4 Nd 0.500 0.632 0.818
5 Ge 0.000 0.612 0.538
6 La 0.000 0.867 0.181
7 Ge 0.500 0.119 0.963
8 Ge 0.500 0.881 0.463

---

[6]
DFT (PBE) results for a geometry-optimized BaZnGa2Ru structure.

Computed properties:
Symmetry ... P4/mmm, No. 123
DOS at the Fermi energy ... 1.532 states/eV per cell
Theoretical density ... 6.3 g/cm³
Energy of formation ... -0.41 eV per atom

Cell: 4.848 4.848 4.995 Å, 90.00 90.00 90.00°
Sites, in units of the cell vectors:
1 Zn 0.000 0.000 0.500
2 Ga 0.500 0.000 0.000
3 Ru 0.000 0.000 0.000
4 Ga 0.000 0.500 0.000
5 Ba 0.500 0.500 0.500

---

[7]
DFT (PBE) results for a geometry-optimized AlIr2Se structure.

Computed properties:
Symmetry ... Pmm2, No. 25
Formation energy without anion corrections ... -0.121 eV per atom
Polymorph energy (0 for the lowest one) ... 57.3 meV per atom
DOS at the Fermi energy ... 1.470 states/eV per cell
Theoretical density ... 13.1 g/cm³

Cell: 2.975 3.897 5.351 Å, 90.00 90.00 90.00°
Sites, in units of the cell vectors:
1 Se 0.000 0.000 0.444
2 Al 0.500 0.500 0.798
3 Ir 0.000 0.000 0.965
4 Ir 0.500 0.500 0.293

---

[8]
DFT (PBE) results for a geometry-optimized Na3NpAg2S6 structure.

Computed properties:
Symmetry ... C2/m, No. 12
Formation energy without anion corrections ... -0.766 eV per atom
DOS at the Fermi energy ... 7.255 states/eV per cell
Theoretical density ... 4.6 g/cm³

Cell: 6.742 6.742 7.003 Å, 98.05 98.05 123.06°
Sites, in units of the cell vectors:
1 Na 0.179 0.821 0.500
2 S 0.600 0.911 0.782
3 Ag 0.349 0.651 0.000
4 Ag 0.651 0.349 0.000
5 S 0.777 0.777 0.245
6 Na 0.500 0.500 0.500
7 Np 0.000 0.000 0.000
8 S 0.911 0.600 0.782
9 Na 0.821 0.179 0.500
10 S 0.089 0.400 0.218
11 S 0.400 0.089 0.218
12 S 0.223 0.223 0.755

---

[9]
DFT (PBE) results for a geometry-optimized YTh2Al structure.

Computed properties:
Symmetry ... R-3m, No. 166
Polymorph energy (0 for the lowest one) ... 329.2 meV per atom
DOS at the Fermi energy ... 5.696 states/eV per cell
Theoretical density ... 8.2 g/cm³
Energy of formation ... 0.20 eV per atom

Cell: 3.376 3.376 12.060 Å, 81.95 81.95 60.00°
Sites, in units of the cell vectors:
1 Y 0.000 0.000 0.000
2 Th 0.094 0.094 0.719
3 Th 0.906 0.906 0.281
4 Al 0.500 0.500 0.500